(1)
Computed, not measured: a crystal of YCo3Te relaxed with PBEsol at the SCAN level of DFT.

Output
- SG: No. 221
- Total energy: -109.02 eV/cell
- Total magnetic moment: 3.458 μB per formula unit

abc: 4.571 4.571 4.571
angles: 90.00 90.00 90.00
Sites, in units of the cell vectors:
Y 0.000 0.000 0.000
Co 0.000 0.000 0.500
Co 0.000 0.500 0.000
Co 0.500 0.000 0.000
Te 0.500 0.500 0.500



(2)
Computed, not measured: a crystal of Y2CoTe relaxed with PBEsol at the SCAN level of DFT.

Output
- SG: No. 99
- Total energy: -112.09 eV/cell
- Total magnetic moment: 0.000 μB per formula unit

abc: 4.025 4.025 6.260
angles: 90.00 90.00 90.00
Sites, in units of the cell vectors:
Y 0.000 0.000 0.000
Y 0.500 0.500 0.362
Co 0.000 0.000 0.384
Te 0.500 0.500 0.845



(3)
Computed, not measured: a crystal of YCoTe2 relaxed with PBEsol at the SCAN level of DFT.

Output
- SG: No. 166
- Total energy: -368.44 eV/cell
- Total magnetic moment: 2.001 μB per formula unit

abc: 4.136 4.136 19.118
angles: 90.00 90.00 120.00
Sites, in units of the cell vectors:
Y 0.000 0.000 0.000
Y 0.333 0.667 0.667
Y 0.667 0.333 0.333
Co 0.000 0.000 0.500
Co 0.333 0.667 0.167
Co 0.667 0.333 0.833
Te 0.000 0.000 0.235
Te 0.000 0.000 0.765
Te 0.333 0.667 0.431
Te 0.333 0.667 0.902
Te 0.667 0.333 0.098
Te 0.667 0.333 0.569



no.,uncorrected formation energy (eV per formula unit)
1,8.0
2,-1.8
3,-3.2